This record from Alexandria describes a geometry-optimized KSe structure. The functional is PBE-GGA. Values from VASP.

Results
Uncorrected formation energy: -0.72 eV per atom
SG: No. 70

```
&SYSTEM
  ibrav = 0, nat = 8, ntyp = 2
/
ATOMIC_SPECIES
K 39.10 K.upf
Se 78.96 Se.upf
CELL_PARAMETERS angstrom
0.000 4.185 9.910
3.843 0.000 9.910
3.843 4.185 0.000
ATOMIC_POSITIONS angstrom
K 4.848 3.139 7.432
K 6.769 5.231 12.387
K 0.916 3.139 7.432
K 2.837 5.231 12.387
Se 2.882 3.139 4.868
Se 4.803 5.231 9.823
Se 2.882 3.139 9.996
Se 4.803 5.231 14.951
```



This record from Alexandria describes a geometry-optimized RbPr6Te8 structure. The functional is PBE-GGA. Values from VASP.

Results
Uncorrected formation energy: -1.38 eV per atom
SG: No. 147

```
&SYSTEM
  ibrav = 0, nat = 15, ntyp = 3
/
ATOMIC_SPECIES
Rb 85.47 Rb.upf
Pr 140.91 Pr.upf
Te 127.60 Te.upf
CELL_PARAMETERS angstrom
12.203 0.000 0.000
-6.101 10.568 0.000
0.000 0.000 4.615
ATOMIC_POSITIONS angstrom
Rb 0.000 0.000 0.000
Pr -2.317 6.891 1.153
Pr 1.292 5.116 1.153
Pr 5.077 1.439 3.462
Pr 1.025 9.129 1.153
Pr 4.809 5.452 3.462
Pr 8.418 3.677 3.462
Te -1.584 3.724 1.153
Te -2.084 10.078 1.153
Te 0.000 7.045 3.461
Te 2.433 3.234 3.462
Te 3.668 7.334 1.153
Te 6.101 3.523 1.154
Te 8.186 0.490 3.462
Te 7.685 6.844 3.462
```



This record from Alexandria describes a geometry-optimized SnClO2 structure. The functional is PBE-GGA. Values from VASP.

Results
Uncorrected formation energy: -0.66 eV per atom
ΔE to the lowest computed polymorph: 205.4 meV per atom
SG: No. 122

```
&SYSTEM
  ibrav = 0, nat = 8, ntyp = 3
/
ATOMIC_SPECIES
Sn 118.71 Sn.upf
Cl 35.45 Cl.upf
O 16.00 O.upf
CELL_PARAMETERS angstrom
-3.431 3.431 2.983
3.431 -3.431 2.983
3.431 3.431 -2.983
ATOMIC_POSITIONS angstrom
Sn 0.000 0.000 0.000
Sn 0.000 3.431 1.491
Cl 3.431 0.000 1.491
Cl 0.000 0.000 2.983
O 0.705 1.715 0.746
O -1.715 2.726 2.237
O -0.705 5.146 0.746
O 1.715 4.136 2.237
```



This record from Alexandria describes a geometry-optimized LaB3O6 structure. The functional is PBE-GGA. Values from VASP.

Results
Uncorrected formation energy: -2.76 eV per atom
ΔE to the lowest computed polymorph: 11.0 meV per atom
SG: No. 14

```
&SYSTEM
  ibrav = 0, nat = 40, ntyp = 3
/
ATOMIC_SPECIES
La 138.91 La.upf
B 10.81 B.upf
O 16.00 O.upf
CELL_PARAMETERS angstrom
4.276 0.000 0.000
0.000 11.832 0.000
-0.159 0.000 7.350
ATOMIC_POSITIONS angstrom
La 0.866 1.450 2.798
La 0.786 4.465 6.472
La 3.331 7.366 0.877
La 3.252 10.381 4.552
B 0.699 1.110 6.426
B 0.779 4.806 2.751
B 1.258 7.356 3.137
B 1.179 10.392 6.812
B 1.254 7.884 5.794
B 1.333 9.864 2.119
B 2.784 1.968 5.231
B 2.863 3.948 1.556
B 2.938 1.440 0.537
B 2.859 4.476 4.212
B 3.338 7.026 4.598
B 3.418 10.722 0.924
O 0.550 7.432 4.483
O 0.630 10.316 0.808
O 0.819 6.200 2.344
O 0.739 11.548 6.019
O 0.893 8.464 2.253
O 0.814 9.283 5.927
O 0.918 6.990 6.886
O 0.997 10.758 3.212
O 1.311 1.985 5.415
O 1.390 3.931 1.740
O 1.494 1.416 0.346
O 1.414 4.500 4.021
O 2.703 7.332 3.329
O 2.623 10.416 7.004
O 2.727 7.901 5.609
O 2.806 9.847 1.935
O 3.120 1.074 4.138
O 3.199 4.842 0.463
O 3.303 2.549 1.422
O 3.224 3.367 5.097
O 3.378 0.284 1.331
O 3.298 5.632 5.006
O 3.487 1.516 6.542
O 3.567 4.400 2.867
```



This record from Alexandria describes a geometry-optimized Be3PbO structure. The functional is PBE-GGA. Values from VASP.

Results
Uncorrected formation energy: 0.01 eV per atom
ΔE to the lowest computed polymorph: 0.0 meV per atom
SG: No. 221

```
&SYSTEM
  ibrav = 0, nat = 5, ntyp = 3
/
ATOMIC_SPECIES
Be 9.01 Be.upf
Pb 207.20 Pb.upf
O 16.00 O.upf
CELL_PARAMETERS angstrom
3.875 0.000 0.000
0.000 3.875 0.000
0.000 0.000 3.875
ATOMIC_POSITIONS angstrom
Be 0.000 0.000 1.937
Be 0.000 1.937 0.000
Be 1.937 0.000 0.000
Pb 1.937 1.937 1.937
O 0.000 0.000 0.000
```



This record from Alexandria describes a geometry-optimized SrAc2Tc structure. The functional is PBE-GGA. Values from VASP.

Results
ΔH_f (0 K): 0.88 eV per atom
SG: No. 166

```
&SYSTEM
  ibrav = 0, nat = 4, ntyp = 3
/
ATOMIC_SPECIES
Sr 87.62 Sr.upf
Ac 227.00 Ac.upf
Tc 98.00 Tc.upf
CELL_PARAMETERS angstrom
1.885 1.088 12.260
-1.885 1.088 12.260
0.000 -2.176 12.260
ATOMIC_POSITIONS angstrom
Sr 0.000 0.000 0.000
Ac 0.000 0.000 15.754
Ac 0.000 0.000 21.027
Tc 0.000 0.000 18.390
```



Calculated N(E_F) in order - 4.63 11.33 4.60 0.00 0.33 6.41 states/eV/cell